LiBSe2 | GGA-PBE | relaxed

Cell: 5.6977 5.6977 8.8996 Å, 90.00 90.00 90.00°
Last column: nearest neighbours and their distance in Å.
Fractional positions:
Li: 0.0000 0.0000 0.0000  4 Se 2.55
Li: 0.0000 0.5000 0.2500  4 Se 2.55
Li: 0.5000 0.0000 0.7500  4 Se 2.55
Li: 0.5000 0.5000 0.5000  4 Se 2.55
B: 0.0000 0.0000 0.5000  4 Se 2.09
B: 0.0000 0.5000 0.7500  4 Se 2.09
B: 0.5000 0.0000 0.2500  4 Se 2.09
B: 0.5000 0.5000 0.0000  4 Se 2.09
Se: 0.1835 0.2500 0.6250  2 B 2.09
Se: 0.2500 0.6835 0.8750  2 B 2.09
Se: 0.2500 0.8165 0.3750  2 B 2.09
Se: 0.3165 0.2500 0.1250  2 B 2.09
Se: 0.6835 0.7500 0.1250  2 B 2.09
Se: 0.7500 0.1835 0.3750  2 B 2.09
Se: 0.7500 0.3165 0.8750  2 B 2.09
Se: 0.8165 0.7500 0.6250  2 B 2.09

The space-group type is I-42d. As for the total DFT energy (no corrections): -4.450 eV per atom. For the uncorrected formation energy, the calculation gives -0.560 eV per atom.

CdSiC3 | GGA-PBE | relaxed

Cell: 3.8510 3.8510 3.8510 Å, 90.00 90.00 90.00°
Last column: nearest neighbours and their distance in Å.
Fractional positions:
Cd: 0.0000 0.0000 0.0000  12 C 2.72
Si: 0.5000 0.5000 0.5000  6 C 1.93
C: 0.0000 0.5000 0.5000  2 Si 1.93
C: 0.5000 0.0000 0.5000  2 Si 1.93
C: 0.5000 0.5000 0.0000  2 Si 1.93

The calculation puts the excess energy over the best structure of this formula in the dataset at 0 meV/atom. The space-group type is Pm-3m. As for the total DFT energy (no corrections): -4.850 eV per atom. For the uncorrected formation energy, the calculation gives 1.952 eV per atom.

TbTc4B4 | GGA-PBE | relaxed

Cell: 7.3739 7.3739 4.2518 Å, 90.00 90.00 90.00°
Last column: nearest neighbours and their distance in Å.
Fractional positions:
Tb: 0.2500 0.2500 0.2500  8 B 2.82-3.08, 4 Tc 2.98
Tb: 0.7500 0.7500 0.7500  8 B 2.82-3.08, 4 Tc 2.98
Tc: 0.1170 0.6246 0.1181  5 B 2.19-2.38
Tc: 0.1246 0.8830 0.6181  5 B 2.19-2.38
Tc: 0.3754 0.6170 0.6181  5 B 2.19-2.38
Tc: 0.3830 0.8754 0.1181  5 B 2.19-2.38
Tc: 0.6170 0.1246 0.8819  5 B 2.19-2.38
Tc: 0.6246 0.3830 0.3819  5 B 2.19-2.38
Tc: 0.8754 0.1170 0.3819  5 B 2.19-2.38
Tc: 0.8830 0.3754 0.8819  5 B 2.19-2.38
B: 0.0643 0.9250 0.1194  1 B 1.78
B: 0.0750 0.5643 0.6194  1 B 1.78
B: 0.4250 0.9357 0.6194  1 B 1.78
B: 0.4357 0.5750 0.1194  1 B 1.78
B: 0.5643 0.4250 0.8806  1 B 1.78
B: 0.5750 0.0643 0.3806  1 B 1.78
B: 0.9250 0.4357 0.3806  1 B 1.78
B: 0.9357 0.0750 0.8806  1 B 1.78

The space-group type is P4_2/n. As for the total DFT energy (no corrections): -8.512 eV per atom. For the formation energy, the calculation gives -0.423 eV/atom.

Repeat the third record exactly.
TbTc4B4 | GGA-PBE | relaxed

Cell: 7.3739 7.3739 4.2518 Å, 90.00 90.00 90.00°
Last column: nearest neighbours and their distance in Å.
Fractional positions:
Tb: 0.2500 0.2500 0.2500  8 B 2.82-3.08, 4 Tc 2.98
Tb: 0.7500 0.7500 0.7500  8 B 2.82-3.08, 4 Tc 2.98
Tc: 0.1170 0.6246 0.1181  5 B 2.19-2.38
Tc: 0.1246 0.8830 0.6181  5 B 2.19-2.38
Tc: 0.3754 0.6170 0.6181  5 B 2.19-2.38
Tc: 0.3830 0.8754 0.1181  5 B 2.19-2.38
Tc: 0.6170 0.1246 0.8819  5 B 2.19-2.38
Tc: 0.6246 0.3830 0.3819  5 B 2.19-2.38
Tc: 0.8754 0.1170 0.3819  5 B 2.19-2.38
Tc: 0.8830 0.3754 0.8819  5 B 2.19-2.38
B: 0.0643 0.9250 0.1194  1 B 1.78
B: 0.0750 0.5643 0.6194  1 B 1.78
B: 0.4250 0.9357 0.6194  1 B 1.78
B: 0.4357 0.5750 0.1194  1 B 1.78
B: 0.5643 0.4250 0.8806  1 B 1.78
B: 0.5750 0.0643 0.3806  1 B 1.78
B: 0.9250 0.4357 0.3806  1 B 1.78
B: 0.9357 0.0750 0.8806  1 B 1.78

The space-group type is P4_2/n. As for the total DFT energy (no corrections): -8.512 eV per atom. For the formation energy, the calculation gives -0.423 eV/atom.

Q: Which value of total DFT energy (no corrections) does entry 1 give?
A: -4.450 eV per atom

Q: total DFT energy (no corrections) of number 2 (CdSiC3)?
A: -4.850 eV per atom

Q: The highest total DFT energy (no corrections) belongs to which entry?
A: LiBSe2